DFT (PBE) results for crystalline Ti2TcRu at its relaxed geometry.

Lattice parameters (Å, degrees): 4.3774 4.3774 3.0830 90.00 90.00 90.00
With the nearest neighbours (Å) after each atom.
Space group P4/mmm (No. 123)
One atom of each set of equivalent atoms:
Ti (0.0000, 0.5000, 0.0000) [2 per cell]  4 Tc 2.68, 4 Ru 2.68
Tc (0.0000, 0.0000, 0.5000) [1 per cell]  8 Ti 2.68
Ru (0.5000, 0.5000, 0.5000) [1 per cell]  8 Ti 2.68

energy above the most stable polymorph in this dataset	0	meV/atom
formation enthalpy at 0 K	-0.648	eV per atom
energy	-9.506	eV per atom